SrLi10Ag2 | PBE-GGA | relaxed

Computed properties:
D(E_F): 0.46 states/eV/atom
total energy: -2.113 eV/atom
V: 21.25 Å³/atom
theoretical density: 2.2 g/cm³

abc: 9.7939 7.6329 7.3669
angles: 81.51 50.43 48.07
Closest atoms and distances in Å follow each position.
Element x y z (fractional)
Sr 0.0000 0.0000 0.0000  16 Li 3.49-3.82, 4 Ag 3.68
Li 0.0000 0.5000 0.0000  10 Li 2.88-3.11
Li 0.0148 0.6431 0.3569  6 Li 2.83-3.16, 2 Ag 2.95
Li 0.2763 0.5081 0.4919  2 Ag 2.78, 4 Li 2.83-3.05
Li 0.3569 0.9852 0.0148  6 Li 2.83-3.16, 2 Ag 2.95
Li 0.4919 0.7237 0.2763  2 Ag 2.78, 4 Li 2.83-3.05
Li 0.5000 0.0000 0.5000  10 Li 2.88-3.11
Li 0.5081 0.2763 0.7237  2 Ag 2.78, 4 Li 2.83-3.05
Li 0.6431 0.0148 0.9852  6 Li 2.83-3.16, 2 Ag 2.95
Li 0.7237 0.4919 0.5081  2 Ag 2.78, 4 Li 2.83-3.05
Li 0.9852 0.3569 0.6431  6 Li 2.83-3.16, 2 Ag 2.95
Ag 0.0000 0.0000 0.5000  8 Li 2.78-2.95, 2 Ag 2.88
Ag 0.5000 0.5000 0.0000  8 Li 2.78-2.95, 2 Ag 2.88